The following is a DFT calculation (GGA-PBE) of an optimized crystal structure of TlIrAu3S4.

## Properties
- calculated volume (Å³/atom) = 25.80
- SG = P-43m (215)
- E_tot (eV per cell) = -35.51

```
TlIrAu3S4
1.0
6.147 0.000 0.000
0.000 6.147 0.000
0.000 0.000 6.147
Au Ir S Tl
3 1 4 1
direct
0.500 0.000 0.000 Au
0.000 0.500 0.000 Au
0.000 0.000 0.500 Au
0.000 0.000 0.000 Ir
0.782 0.218 0.218 S
0.218 0.782 0.218 S
0.218 0.218 0.782 S
0.782 0.782 0.782 S
0.500 0.500 0.500 Tl
```